# 1
Here is a relaxed structure of AcLa2Y4 from Alexandria. Energies are from GGA-PBE.

Output
Its total DFT energy (no corrections) is -5.519 eV per atom. Its space group is Cmcm. The calculation puts the energy of formation at 0.170 eV/atom. The density of states at the Fermi level is 10.50 states/eV/f.u. For the relative energy among the computed polymorphs, the calculation gives 0.0 meV per atom.

Cell lengths 7.1466, 7.1466, 11.7479 Å; angles 90.00, 90.00, 123.07 degrees
Closest atoms and distances in Å follow each position.
Fractional positions:
Ac (0.1727, 0.8273, 0.7500)  6 Y 3.58-3.96, 2 La 3.62-3.85
Ac (0.8273, 0.1727, 0.2500)  6 Y 3.58-3.96, 2 La 3.62-3.85
La (0.1154, 0.8846, 0.2500)  6 Y 3.29-3.61, 2 La 3.61, 1 Ac 3.62
La (0.4789, 0.5211, 0.7500)  4 Y 3.50, 2 La 3.61, 1 Ac 3.85
La (0.5211, 0.4789, 0.2500)  4 Y 3.50, 2 La 3.61, 1 Ac 3.85
La (0.8846, 0.1154, 0.7500)  6 Y 3.29-3.61, 2 La 3.61, 1 Ac 3.62
Y (0.2232, 0.2232, 0.0000)  3 Y 3.04-3.37
Y (0.2232, 0.2232, 0.5000)  3 Y 3.04-3.37
Y (0.2798, 0.7202, 0.0322)  1 La 3.29, 4 Y 3.37-3.57, 1 Ac 3.58
Y (0.2798, 0.7202, 0.4678)  1 La 3.29, 4 Y 3.37-3.57, 1 Ac 3.58
Y (0.7202, 0.2798, 0.5322)  1 La 3.29, 4 Y 3.37-3.57, 1 Ac 3.58
Y (0.7202, 0.2798, 0.9678)  1 La 3.29, 4 Y 3.37-3.57, 1 Ac 3.58
Y (0.7768, 0.7768, 0.0000)  3 Y 3.04-3.37
Y (0.7768, 0.7768, 0.5000)  3 Y 3.04-3.37

=====

# 2
Here is a relaxed structure of SrIn2Ni2 from Alexandria. Energies are from GGA-PBE.

Output
Its total DFT energy (no corrections) is -3.745 eV per atom. Its space group is P4/mbm. The calculation puts the energy of formation at 0.000 eV/atom. The density of states at the Fermi level is 2.74 states/eV/f.u.

Cell lengths 8.0844, 8.0844, 3.0218 Å; angles 90.00, 90.00, 90.00 degrees
Closest atoms and distances in Å follow each position.
Fractional positions:
Sr (0.0000, 0.0000, 0.0000)  2 Sr 3.02, 4 In 3.18, 8 Ni 3.36
Sr (0.5000, 0.5000, 0.0000)  2 Sr 3.02, 4 In 3.18, 8 Ni 3.36
In (0.1272, 0.3728, 0.0000)  6 Ni 2.76-2.87, 3 In 2.91-3.02
In (0.3728, 0.8728, 0.0000)  6 Ni 2.76-2.87, 3 In 2.91-3.02
In (0.6272, 0.1272, 0.0000)  6 Ni 2.76-2.87, 3 In 2.91-3.02
In (0.8728, 0.6272, 0.0000)  6 Ni 2.76-2.87, 3 In 2.91-3.02
Ni (0.1708, 0.6708, 0.5000)  6 In 2.76-2.87, 2 Ni 3.02
Ni (0.3292, 0.1708, 0.5000)  6 In 2.76-2.87, 2 Ni 3.02
Ni (0.6708, 0.8292, 0.5000)  6 In 2.76-2.87, 2 Ni 3.02
Ni (0.8292, 0.3292, 0.5000)  6 In 2.76-2.87, 2 Ni 3.02

=====

# 3
Here is a relaxed structure of Cu3As5Se12 from Alexandria. Energies are from GGA-PBE.

Output
Its total DFT energy (no corrections) is -3.688 eV per atom. Its space group is Ia-3d. The density of states at the Fermi level is 12.92 states/eV/f.u. The formation energy without anion corrections is 4.149 kcal/mol of atoms.

Cell lengths 13.5869, 13.5869, 13.5869 Å; angles 109.47, 109.47, 109.47 degrees
Closest atoms and distances in Å follow each position.
Fractional positions:
Cu (0.1250, 0.2500, 0.3750)  8 Se 2.90-2.95
Cu (0.1250, 0.3750, 0.7500)  8 Se 2.90-2.95
Cu (0.2500, 0.3750, 0.1250)  8 Se 2.90-2.95
Cu (0.2500, 0.8750, 0.6250)  8 Se 2.90-2.95
Cu (0.3750, 0.1250, 0.2500)  8 Se 2.90-2.95
Cu (0.3750, 0.7500, 0.1250)  8 Se 2.90-2.95
Cu (0.6250, 0.2500, 0.8750)  8 Se 2.90-2.95
Cu (0.6250, 0.8750, 0.7500)  8 Se 2.90-2.95
Cu (0.7500, 0.1250, 0.3750)  8 Se 2.90-2.95
Cu (0.7500, 0.6250, 0.8750)  8 Se 2.90-2.95
Cu (0.8750, 0.6250, 0.2500)  8 Se 2.90-2.95
Cu (0.8750, 0.7500, 0.6250)  8 Se 2.90-2.95
As (0.0000, 0.0000, 0.0000)  6 Se 2.67
As (0.0000, 0.0000, 0.5000)  6 Se 2.67
As (0.0000, 0.5000, 0.0000)  6 Se 2.67
As (0.0000, 0.5000, 0.5000)  6 Se 2.67
As (0.1250, 0.7500, 0.8750)  4 Se 2.47
As (0.1250, 0.8750, 0.2500)  4 Se 2.47
As (0.2500, 0.1250, 0.8750)  4 Se 2.47
As (0.2500, 0.6250, 0.3750)  4 Se 2.47
As (0.3750, 0.2500, 0.6250)  4 Se 2.47
As (0.3750, 0.6250, 0.7500)  4 Se 2.47
As (0.5000, 0.0000, 0.0000)  6 Se 2.67
As (0.5000, 0.0000, 0.5000)  6 Se 2.67
As (0.5000, 0.5000, 0.0000)  6 Se 2.67
As (0.5000, 0.5000, 0.5000)  6 Se 2.67
As (0.6250, 0.3750, 0.2500)  4 Se 2.47
As (0.6250, 0.7500, 0.3750)  4 Se 2.47
As (0.7500, 0.3750, 0.6250)  4 Se 2.47
As (0.7500, 0.8750, 0.1250)  4 Se 2.47
As (0.8750, 0.1250, 0.7500)  4 Se 2.47
As (0.8750, 0.2500, 0.1250)  4 Se 2.47
Se (0.0474, 0.2226, 0.1326)  2 As 2.47-2.67
Se (0.0474, 0.3248, 0.9147)  2 As 2.47-2.67
Se (0.0853, 0.6326, 0.4101)  2 As 2.47-2.67
Se (0.0853, 0.9526, 0.6752)  2 As 2.47-2.67
Se (0.0899, 0.7226, 0.6752)  2 As 2.47-2.67
Se (0.0899, 0.8674, 0.4147)  2 As 2.47-2.67
Se (0.1326, 0.0474, 0.2226)  2 As 2.47-2.67
Se (0.1326, 0.5853, 0.9101)  2 As 2.47-2.67
Se (0.1752, 0.2226, 0.5899)  2 As 2.47-2.67
Se (0.1752, 0.4526, 0.5853)  2 As 2.47-2.67
Se (0.2226, 0.1326, 0.0474)  2 As 2.47-2.67
Se (0.2226, 0.5899, 0.1752)  2 As 2.47-2.67
Se (0.2774, 0.3248, 0.9101)  2 As 2.47-2.67
Se (0.2774, 0.4526, 0.3674)  2 As 2.47-2.67
Se (0.3248, 0.9101, 0.2774)  2 As 2.47-2.67
Se (0.3248, 0.9147, 0.0474)  2 As 2.47-2.67
Se (0.3674, 0.2774, 0.4526)  2 As 2.47-2.67
Se (0.3674, 0.5899, 0.9147)  2 As 2.47-2.67
Se (0.4101, 0.0853, 0.6326)  2 As 2.47-2.67
Se (0.4101, 0.8248, 0.7774)  2 As 2.47-2.67
Se (0.4147, 0.0899, 0.8674)  2 As 2.47-2.67
Se (0.4147, 0.8248, 0.5474)  2 As 2.47-2.67
Se (0.4526, 0.3674, 0.2774)  2 As 2.47-2.67
Se (0.4526, 0.5853, 0.1752)  2 As 2.47-2.67
Se (0.5474, 0.4147, 0.8248)  2 As 2.47-2.67
Se (0.5474, 0.6326, 0.7226)  2 As 2.47-2.67
Se (0.5853, 0.1752, 0.4526)  2 As 2.47-2.67
Se (0.5853, 0.9101, 0.1326)  2 As 2.47-2.67
Se (0.5899, 0.1752, 0.2226)  2 As 2.47-2.67
Se (0.5899, 0.9147, 0.3674)  2 As 2.47-2.67
Se (0.6326, 0.4101, 0.0853)  2 As 2.47-2.67
Se (0.6326, 0.7226, 0.5474)  2 As 2.47-2.67
Se (0.6752, 0.0853, 0.9526)  2 As 2.47-2.67
Se (0.6752, 0.0899, 0.7226)  2 As 2.47-2.67
Se (0.7226, 0.5474, 0.6326)  2 As 2.47-2.67
Se (0.7226, 0.6752, 0.0899)  2 As 2.47-2.67
Se (0.7774, 0.4101, 0.8248)  2 As 2.47-2.67
Se (0.7774, 0.8674, 0.9526)  2 As 2.47-2.67
Se (0.8248, 0.5474, 0.4147)  2 As 2.47-2.67
Se (0.8248, 0.7774, 0.4101)  2 As 2.47-2.67
Se (0.8674, 0.4147, 0.0899)  2 As 2.47-2.67
Se (0.8674, 0.9526, 0.7774)  2 As 2.47-2.67
Se (0.9101, 0.1326, 0.5853)  2 As 2.47-2.67
Se (0.9101, 0.2774, 0.3248)  2 As 2.47-2.67
Se (0.9147, 0.0474, 0.3248)  2 As 2.47-2.67
Se (0.9147, 0.3674, 0.5899)  2 As 2.47-2.67
Se (0.9526, 0.6752, 0.0853)  2 As 2.47-2.67
Se (0.9526, 0.7774, 0.8674)  2 As 2.47-2.67

=====

# 4
Here is a relaxed structure of SmTmU2P4 from Alexandria. Energies are from GGA-PBE.

Output
Its total DFT energy (no corrections) is -7.950 eV per atom. Its space group is P2/m. The calculation puts the energy of formation at -1.274 eV/atom. The density of states at the Fermi level is 8.88 states/eV/f.u.

Cell lengths 6.8558, 3.9584, 6.9681 Å; angles 90.00, 109.16, 90.00 degrees
Closest atoms and distances in Å follow each position.
Fractional positions:
Sm (0.0000, 0.0000, 0.0000)  6 P 2.86
Tm (0.5000, 0.5000, 0.0000)  6 P 2.82
U (0.0000, 0.5000, 0.5000)  6 P 2.81
U (0.5000, 0.0000, 0.5000)  6 P 2.77
P (0.2533, 0.0000, 0.7453)  3 U 2.77-2.81, 2 Tm 2.82, 1 Sm 2.86
P (0.2578, 0.5000, 0.2587)  3 U 2.77-2.81, 1 Tm 2.82, 2 Sm 2.86
P (0.7422, 0.5000, 0.7413)  3 U 2.77-2.81, 1 Tm 2.82, 2 Sm 2.86
P (0.7467, 0.0000, 0.2547)  3 U 2.77-2.81, 2 Tm 2.82, 1 Sm 2.86

=====

What did we get for spin magnetization? Answer: 0.0, 0.0, 0.0, 4.6 μB per formula unit, in the order shown.